Here is crystalline LiP2HSe6 at its relaxed geometry from the Alexandria database. Energies are from PBE.

Properties
**Density**: 2.9 g/cm³
**Symmetry**: C2/c
**Final energy**: -3.8902 eV per atom

a = 6.0164 Å, b = 11.3685 Å, c = 11.3685 Å
α = 95.01°, β = 66.53°, γ = 66.53°
Fractional positions:
Se 0.3418 0.1993 0.5372
P 0.5886 0.2047 0.3379
Se 0.8651 0.2728 0.3842
H 0.2500 0.3524 0.6476
Se 0.7162 0.8029 0.9927
Se 0.6349 0.6158 0.7272
P 0.9114 0.6621 0.7953
Se 0.8418 0.5372 0.1993
Se 0.7838 0.0073 0.1971
Se 0.1582 0.4628 0.8007
P 0.4114 0.7953 0.6621
P 0.0886 0.3379 0.2047
Li 0.2500 0.9774 0.0226
Se 0.3651 0.3842 0.2728
Li 0.7500 0.0226 0.9774
Se 0.2162 0.9927 0.8029
Se 0.2838 0.1971 0.0073
H 0.7500 0.6476 0.3524
Se 0.6582 0.8007 0.4628
Se 0.1349 0.7272 0.6158